(1)
## Ba3ZnCd (GGA-PBEsol)

Data for an optimized crystal structure of Ba3ZnCd.

Summary:
The total magnetic moment comes out at 0.73 μB per cell. The total energy comes out at -1.552 eV per atom. As for the formation energy: 0.293 eV/atom.

```
Ba3ZnCd
1.0
6.485 0.000 0.000
0.000 6.485 0.000
0.000 0.000 6.485
Ba Zn Cd
3 1 1
Direct
0.000 0.000 0.500 Ba
0.000 0.500 0.000 Ba
0.500 0.000 0.000 Ba
0.500 0.500 0.500 Zn
0.000 0.000 0.000 Cd
```

***

(2)
## Ba2ZnCd (GGA-PBEsol)

Data for an optimized crystal structure of Ba2ZnCd.

Summary:
The energy relative to the lowest polymorph listed for this composition is 0 meV/atom. The total magnetic moment comes out at 0.00 μB per cell. The total energy comes out at -1.971 eV per atom. As for the formation energy: -0.202 eV/atom.

```
Ba2ZnCd
1.0
4.087 0.000 0.000
0.000 5.779 0.000
0.000 0.000 5.779
Ba Zn Cd
2 1 1
Direct
0.000 0.000 0.000 Ba
0.000 0.500 0.499 Ba
0.500 0.000 0.500 Zn
0.500 0.500 0.999 Cd
```

***

(3)
## BaZrCd2 (GGA-PBEsol)

Data for an optimized crystal structure of BaZrCd2.

Summary:
The energy relative to the lowest polymorph listed for this composition is 279 meV/atom. The total magnetic moment comes out at 7.69 μB per cell. The total energy comes out at -3.031 eV per atom. As for the formation energy: 0.377 eV/atom.

```
BaZrCd2
1.0
7.462 0.000 0.000
0.000 7.462 0.000
0.000 0.000 7.462
Ba Zr Cd
4 4 8
Direct
0.000 0.000 0.000 Ba
0.000 0.500 0.500 Ba
0.500 0.000 0.500 Ba
0.500 0.500 0.000 Ba
0.250 0.250 0.250 Zr
0.250 0.750 0.750 Zr
0.750 0.250 0.750 Zr
0.750 0.750 0.250 Zr
0.000 0.000 0.500 Cd
0.000 0.500 0.000 Cd
0.250 0.250 0.750 Cd
0.250 0.750 0.250 Cd
0.500 0.000 0.000 Cd
0.500 0.500 0.500 Cd
0.750 0.250 0.250 Cd
0.750 0.750 0.750 Cd
```

***

(4)
## BaZrCd2 (GGA-PBEsol)

Data for an optimized crystal structure of BaZrCd2.

Summary:
The energy relative to the lowest polymorph listed for this composition is 0 meV/atom. The total magnetic moment comes out at 0.20 μB per cell. The total energy comes out at -3.310 eV per atom. As for the formation energy: 0.098 eV/atom.

```
BaZrCd2
1.0
5.648 0.000 0.000
0.000 5.648 0.000
0.000 0.000 3.268
Ba Zr Cd
1 1 2
Direct
0.000 0.000 0.000 Ba
0.500 0.500 0.000 Zr
0.000 0.500 0.500 Cd
0.500 0.000 0.500 Cd
```

***

(5)
## BaZr2Cd2 (GGA-PBEsol)

Data for an optimized crystal structure of BaZr2Cd2.

Summary:
The total magnetic moment comes out at 0.95 μB per cell. The total energy comes out at -4.138 eV per atom. As for the formation energy: 0.407 eV/atom.

```
BaZr2Cd2
1.0
4.521 0.000 0.000
0.000 4.521 0.000
0.000 0.000 13.241
Ba Zr Cd
2 4 4
Direct
0.000 0.000 0.000 Ba
0.500 0.500 0.500 Ba
0.000 0.000 0.391 Zr
0.000 0.000 0.609 Zr
0.500 0.500 0.109 Zr
0.500 0.500 0.891 Zr
0.000 0.500 0.250 Cd
0.000 0.500 0.750 Cd
0.500 0.000 0.250 Cd
0.500 0.000 0.750 Cd
```

***

(6)
## BaCe2FeS5 (GGA-PBEsol)

Data for an optimized crystal structure of BaCe2FeS5.

Summary:
The total magnetic moment comes out at 3.97 μB per cell. For the uncorrected formation energy, the calculation gives -1.71 eV per atom. The total energy comes out at -6.850 eV per atom.

```
BaCe2FeS5
1.0
-3.831 3.831 6.539
3.831 -3.831 6.539
3.831 3.831 -6.539
Ba Ce Fe S
2 4 2 10
Direct
0.250 0.250 0.000 Ba
0.750 0.750 0.000 Ba
0.160 0.660 0.821 Ce
0.340 0.160 0.500 Ce
0.660 0.840 0.500 Ce
0.840 0.340 0.179 Ce
0.250 0.750 0.500 Fe
0.750 0.250 0.500 Fe
0.000 0.000 0.000 S
0.015 0.214 0.500 S
0.214 0.714 0.200 S
0.286 0.485 0.500 S
0.485 0.985 0.200 S
0.500 0.500 0.000 S
0.515 0.015 0.800 S
0.714 0.515 0.500 S
0.786 0.286 0.800 S
0.985 0.786 0.500 S
```

***

(7)
## BaCeI4 (GGA-PBEsol)

Data for an optimized crystal structure of BaCeI4.

Summary:
The total magnetic moment comes out at 2.60 μB per cell. For the uncorrected formation energy, the calculation gives -1.49 eV per atom. The total energy comes out at -4.127 eV per atom.

```
BaCeI4
1.0
5.100 -7.426 0.000
5.100 7.426 0.000
-3.932 0.000 6.194
Ba Ce I
2 2 8
Direct
0.134 0.866 0.750 Ba
0.866 0.134 0.250 Ba
0.499 0.501 0.750 Ce
0.501 0.499 0.250 Ce
0.142 0.269 0.783 I
0.213 0.560 0.415 I
0.269 0.142 0.283 I
0.440 0.787 0.085 I
0.560 0.213 0.915 I
0.731 0.858 0.717 I
0.787 0.440 0.585 I
0.858 0.731 0.217 I
```

***

(8)
## Ba4Ce2O7 (GGA-PBEsol)

Data for an optimized crystal structure of Ba4Ce2O7.

Summary:
The total magnetic moment comes out at 3.69 μB per cell. For the uncorrected formation energy, the calculation gives -2.78 eV per atom. The total energy comes out at -7.282 eV per atom.

```
Ba4Ce2O7
1.0
7.030 -3.097 0.000
7.030 3.097 0.000
0.000 0.000 11.882
Ba Ce O
8 4 14
Direct
0.051 0.640 0.877 Ba
0.140 0.551 0.377 Ba
0.360 0.949 0.877 Ba
0.449 0.860 0.377 Ba
0.551 0.140 0.623 Ba
0.640 0.051 0.123 Ba
0.860 0.449 0.623 Ba
0.949 0.360 0.123 Ba
0.230 0.770 0.628 Ce
0.270 0.730 0.128 Ce
0.730 0.270 0.872 Ce
0.770 0.230 0.372 Ce
0.000 0.000 0.000 O
0.080 0.596 0.121 O
0.096 0.580 0.621 O
0.098 0.902 0.290 O
0.402 0.598 0.790 O
0.404 0.920 0.121 O
0.420 0.904 0.621 O
0.500 0.500 0.500 O
0.580 0.096 0.379 O
0.596 0.080 0.879 O
0.598 0.402 0.210 O
0.902 0.098 0.710 O
0.904 0.420 0.379 O
0.920 0.404 0.879 O
```

***

(9)
## Ba3Ce2O6 (GGA-PBEsol)

Data for an optimized crystal structure of Ba3Ce2O6.

Summary:
The total magnetic moment comes out at 1.47 μB per cell. For the uncorrected formation energy, the calculation gives -2.84 eV per atom. The total energy comes out at -7.487 eV per atom.

```
Ba3Ce2O6
1.0
-2.238 2.238 10.803
2.238 -2.238 10.803
2.238 2.238 -10.803
Ba Ce O
3 2 6
Direct
0.000 0.000 0.000 Ba
0.183 0.183 0.000 Ba
0.817 0.817 0.000 Ba
0.400 0.400 0.000 Ce
0.600 0.600 0.000 Ce
0.088 0.588 0.500 O
0.299 0.299 0.000 O
0.412 0.912 0.500 O
0.588 0.088 0.500 O
0.701 0.701 0.000 O
0.912 0.412 0.500 O
```

***

(10)
## Ba3CeRu2O9 (GGA-PBEsol)

Data for an optimized crystal structure of Ba3CeRu2O9.

Summary:
The total magnetic moment comes out at 2.77 μB per cell. For the uncorrected formation energy, the calculation gives -2.31 eV per atom. The total energy comes out at -7.681 eV per atom.

```
Ba3CeRu2O9
1.0
5.864 0.000 0.000
-2.932 5.079 0.000
0.000 0.000 14.605
Ba Ce Ru O
6 2 4 18
Direct
0.000 0.000 0.250 Ba
0.000 0.000 0.750 Ba
0.333 0.667 0.099 Ba
0.333 0.667 0.401 Ba
0.667 0.333 0.599 Ba
0.667 0.333 0.901 Ba
0.000 0.000 0.000 Ce
0.000 0.000 0.500 Ce
0.333 0.667 0.666 Ru
0.333 0.667 0.834 Ru
0.667 0.333 0.166 Ru
0.667 0.333 0.334 Ru
0.020 0.510 0.750 O
0.176 0.352 0.588 O
0.176 0.352 0.912 O
0.176 0.824 0.588 O
0.176 0.824 0.912 O
0.352 0.176 0.088 O
0.352 0.176 0.412 O
0.490 0.510 0.750 O
0.490 0.980 0.750 O
0.510 0.020 0.250 O
0.510 0.490 0.250 O
0.648 0.824 0.588 O
0.648 0.824 0.912 O
0.824 0.176 0.088 O
0.824 0.176 0.412 O
0.824 0.648 0.088 O
0.824 0.648 0.412 O
0.980 0.490 0.250 O
```

***

(11)
## Ba8Ce3Sb4O24 (GGA-PBEsol)

Data for an optimized crystal structure of Ba8Ce3Sb4O24.

Summary:
The total magnetic moment comes out at 0.00 μB per cell. For the uncorrected formation energy, the calculation gives -2.59 eV per atom. The total energy comes out at -7.240 eV per atom.

```
Ba8Ce3Sb4O24
1.0
-4.235 4.235 8.502
4.235 -4.235 8.502
4.235 4.235 -8.502
Ba Ce Sb O
8 3 4 24
Direct
0.113 0.113 0.459 Ba
0.113 0.654 0.000 Ba
0.346 0.346 0.459 Ba
0.346 0.887 0.000 Ba
0.654 0.113 0.000 Ba
0.654 0.654 0.541 Ba
0.887 0.346 0.000 Ba
0.887 0.887 0.541 Ba
0.250 0.750 0.500 Ce
0.500 0.500 0.000 Ce
0.750 0.250 0.500 Ce
0.000 0.500 0.500 Sb
0.254 0.254 0.000 Sb
0.500 0.000 0.500 Sb
0.746 0.746 0.000 Sb
0.000 0.271 0.271 O
0.000 0.729 0.729 O
0.014 0.253 0.761 O
0.120 0.620 0.500 O
0.139 0.139 0.000 O
0.240 0.500 0.740 O
0.253 0.014 0.761 O
0.253 0.492 0.239 O
0.271 0.000 0.271 O
0.371 0.371 0.000 O
0.380 0.880 0.500 O
0.492 0.253 0.239 O
0.500 0.240 0.740 O
0.500 0.760 0.260 O
0.508 0.747 0.761 O
0.620 0.120 0.500 O
0.629 0.629 0.000 O
0.729 0.000 0.729 O
0.747 0.508 0.761 O
0.747 0.986 0.239 O
0.760 0.500 0.260 O
0.861 0.861 0.000 O
0.880 0.380 0.500 O
0.986 0.747 0.239 O
```

***

(12)
## BaCl2 (GGA-PBEsol)

Data for an optimized crystal structure of BaCl2.

Summary:
The total magnetic moment comes out at 0.00 μB per cell. For the uncorrected formation energy, the calculation gives -2.48 eV per atom. The total energy comes out at -4.531 eV per atom.

```
BaCl2
1.0
4.562 0.000 0.000
0.000 10.557 0.000
0.000 0.000 7.161
Ba Cl
4 8
Direct
0.000 0.116 0.000 Ba
0.000 0.884 0.500 Ba
0.500 0.384 0.500 Ba
0.500 0.616 0.000 Ba
0.000 0.190 0.555 Cl
0.000 0.485 0.772 Cl
0.000 0.515 0.272 Cl
0.000 0.810 0.055 Cl
0.500 0.015 0.272 Cl
0.500 0.310 0.055 Cl
0.500 0.690 0.555 Cl
0.500 0.985 0.772 Cl
```

***

Repeat the eleventh record exactly.
## Ba8Ce3Sb4O24 (GGA-PBEsol)

Data for an optimized crystal structure of Ba8Ce3Sb4O24.

Summary:
The total magnetic moment comes out at 0.00 μB per cell. For the uncorrected formation energy, the calculation gives -2.59 eV per atom. The total energy comes out at -7.240 eV per atom.

```
Ba8Ce3Sb4O24
1.0
-4.235 4.235 8.502
4.235 -4.235 8.502
4.235 4.235 -8.502
Ba Ce Sb O
8 3 4 24
Direct
0.113 0.113 0.459 Ba
0.113 0.654 0.000 Ba
0.346 0.346 0.459 Ba
0.346 0.887 0.000 Ba
0.654 0.113 0.000 Ba
0.654 0.654 0.541 Ba
0.887 0.346 0.000 Ba
0.887 0.887 0.541 Ba
0.250 0.750 0.500 Ce
0.500 0.500 0.000 Ce
0.750 0.250 0.500 Ce
0.000 0.500 0.500 Sb
0.254 0.254 0.000 Sb
0.500 0.000 0.500 Sb
0.746 0.746 0.000 Sb
0.000 0.271 0.271 O
0.000 0.729 0.729 O
0.014 0.253 0.761 O
0.120 0.620 0.500 O
0.139 0.139 0.000 O
0.240 0.500 0.740 O
0.253 0.014 0.761 O
0.253 0.492 0.239 O
0.271 0.000 0.271 O
0.371 0.371 0.000 O
0.380 0.880 0.500 O
0.492 0.253 0.239 O
0.500 0.240 0.740 O
0.500 0.760 0.260 O
0.508 0.747 0.761 O
0.620 0.120 0.500 O
0.629 0.629 0.000 O
0.729 0.000 0.729 O
0.747 0.508 0.761 O
0.747 0.986 0.239 O
0.760 0.500 0.260 O
0.861 0.861 0.000 O
0.880 0.380 0.500 O
0.986 0.747 0.239 O
```